[1]
PBE PuAlTlF6, relaxed; energy relative to the elements, uncorrected = -3.023 eV per atom; D(E_F) = 21.6 states/eV per cell; symmetry = Imma (74); total energy = -0.4808 Ry per atom; spin magnetization = 12.0 μB per cell
1.0
-2.1937 0.7797 6.8385
7.0736 -0.7610 2.3558
-1.7318 5.3751 -4.9839
Pu Al Tl F
2 2 2 12
direct
0.5000 0.0000 0.5000
0.0000 0.0000 0.5000
0.5000 0.5000 0.0000
0.5000 0.0000 0.0000
0.8621 0.6121 0.7243
0.1379 0.3879 0.2757
0.5152 0.7652 0.0305
0.8993 0.1493 0.7986
0.7952 0.1290 0.2364
0.4412 0.6074 0.2364
0.4412 0.1290 0.2364
0.7952 0.6074 0.2364
0.4848 0.2348 0.9695
0.1007 0.8507 0.2014
0.2048 0.8710 0.7636
0.5588 0.3926 0.7636
0.5588 0.8710 0.7636
0.2048 0.3926 0.7636

=====

[2]
PBE Rb2AlF, relaxed; energy relative to the elements, uncorrected = -0.450 eV per atom; E above lowest polymorph = 393 meV/atom; D(E_F) = 1.1 states/eV per cell; symmetry = Fm-3m (225); total energy = -0.1718 Ry per atom; spin magnetization = 0.0 μB per cell
1.0
-5.5719 -1.9258 -0.3407
-3.2439 -0.5358 4.9052
-4.4760 3.7196 1.0008
Al Rb F
1 2 1
direct
0.5000 0.5000 0.5000
0.2500 0.2500 0.2500
0.7500 0.7500 0.7500
0.0000 0.0000 0.0000

=====

[3]
PBE Rb2AlF7, relaxed; energy relative to the elements, uncorrected = -2.475 eV per atom; D(E_F) = 8.9 states/eV per cell; symmetry = I4/mmm (139); total energy = -0.3199 Ry per atom; spin magnetization = 2.1 μB per cell
1.0
5.8355 0.0000 0.0000
0.0000 5.8355 0.0000
2.9178 2.9178 4.7041
Al Rb F
1 2 7
direct
0.0000 0.0000 0.0000
0.7500 0.2500 0.5000
0.2500 0.7500 0.5000
0.5000 0.5000 0.0000
0.1905 0.1905 0.6190
0.8095 0.8095 0.3810
0.2241 0.2241 0.0000
0.7759 0.7759 0.0000
0.7759 0.2241 0.0000
0.2241 0.7759 0.0000

=====

[4]
PBE RbAlF5, relaxed; energy relative to the elements, uncorrected = -2.807 eV per atom; D(E_F) = 5.2 states/eV per cell; symmetry = Immm (71); total energy = -0.3540 Ry per atom; spin magnetization = 1.0 μB per cell
1.0
3.7994 0.0000 0.0000
1.8997 5.9756 -0.0327
1.8997 1.0364 5.8852
Rb Al F
1 1 5
direct
0.0000 0.0000 0.0000
0.5000 0.5000 0.5000
0.5000 0.2677 0.7323
0.5000 0.7323 0.2677
0.6953 0.3047 0.3047
0.3047 0.6953 0.6953
0.0000 0.5000 0.5000

=====

[5]
PBE RbAl3F, relaxed; energy relative to the elements, uncorrected = 0.007 eV per atom; E above lowest polymorph = 0 meV/atom; D(E_F) = 2.9 states/eV per cell; symmetry = Pm-3m (221); total energy = -0.2062 Ry per atom; spin magnetization = 0.0 μB per cell
1.0
-4.6300 1.7233 -0.8728
-1.0475 -4.1442 -2.6262
-1.6231 -2.2415 4.1845
Al Rb F
3 1 1
direct
0.0000 0.5000 0.0000
0.0000 0.0000 0.5000
0.5000 0.0000 0.0000
0.5000 0.5000 0.5000
0.0000 0.0000 0.0000

=====

[6]
PBE Rb2AlF, relaxed; energy relative to the elements, uncorrected = -0.842 eV per atom; E above lowest polymorph = 0 meV/atom; D(E_F) = 1.7 states/eV per cell; symmetry = I-42d (122); total energy = -0.2006 Ry per atom; spin magnetization = 0.0 μB per cell
1.0
8.2123 0.0000 0.0000
0.0000 8.2123 0.0000
4.1062 4.1062 4.8133
Al Rb F
2 4 2
direct
0.0000 0.0000 0.0000
0.7500 0.2500 0.5000
0.5137 0.1250 0.2500
0.2363 0.6250 0.2500
0.3750 0.4863 0.7500
0.8750 0.7637 0.7500
0.5000 0.5000 0.0000
0.2500 0.7500 0.5000

=====

[7]
PBE Rb5Al2F12, relaxed; energy relative to the elements, uncorrected = -2.931 eV per atom; D(E_F) = 2.5 states/eV per cell; symmetry = C2/m (12); total energy = -0.3500 Ry per atom; spin magnetization = 1.0 μB per cell
1.0
5.8988 0.0000 0.0000
-2.9494 7.4815 0.0307
0.0000 -2.5882 8.7663
Rb Al F
5 2 12
direct
0.3184 0.6368 0.6454
0.2958 0.5916 0.1451
0.0000 0.0000 0.5000
0.7042 0.4084 0.8549
0.6816 0.3632 0.3546
0.7529 0.0000 0.0000
0.2471 0.0000 0.0000
0.9981 0.9961 0.1329
0.1290 0.7549 0.9388
0.6259 0.7549 0.9388
0.0949 0.6846 0.4039
0.5897 0.6846 0.4039
0.5029 0.0058 0.8679
0.4971 0.9942 0.1321
0.9051 0.3154 0.5961
0.4103 0.3154 0.5961
0.8710 0.2451 0.0612
0.3741 0.2451 0.0612
0.0019 0.0039 0.8671

=====

[8]
PBE Rb2AlF5, relaxed; energy relative to the elements, uncorrected = -3.193 eV per atom; D(E_F) = 0.0 states/eV per cell; symmetry = I4mm (107); total energy = -0.3728 Ry per atom; spin magnetization = 0.0 μB per cell
1.0
-4.6811 -1.0780 3.5902
-1.1119 -0.1930 -5.8899
4.3650 -4.1117 0.0745
Rb Al F
2 1 5
direct
0.5000 0.2568 0.7568
0.5000 0.7568 0.2568
0.0000 0.0313 0.0313
0.6112 0.7877 0.7877
0.0000 0.7877 0.1765
0.0000 0.1765 0.7877
0.3888 0.1765 0.1765
0.0000 0.2486 0.2486

=====

[9]
PBE Rb3AlF6, relaxed; energy relative to the elements, uncorrected = -3.131 eV per atom; D(E_F) = 0.0 states/eV per cell; symmetry = R-3 (148); total energy = -0.3615 Ry per atom; spin magnetization = 0.1 μB per cell
1.0
-7.0593 1.0111 1.8514
-1.9286 -2.5057 -6.6548
-0.0735 -6.8240 2.7770
Rb Al F
6 2 12
direct
0.4438 0.9459 0.7480
0.9459 0.7480 0.4438
0.2520 0.5562 0.0541
0.7480 0.4438 0.9459
0.0541 0.2520 0.5562
0.5562 0.0541 0.2520
0.0000 0.0000 0.0000
0.5000 0.5000 0.5000
0.2368 0.9485 0.0679
0.0515 0.9321 0.7632
0.5639 0.7392 0.4549
0.9321 0.7632 0.0515
0.4549 0.5639 0.7392
0.2608 0.5451 0.4361
0.7392 0.4549 0.5639
0.5451 0.4361 0.2608
0.0679 0.2368 0.9485
0.4361 0.2608 0.5451
0.9485 0.0679 0.2368
0.7632 0.0515 0.9321

=====

[10]
PBE RbAl3F, relaxed; energy relative to the elements, uncorrected = 1.262 eV per atom; E above lowest polymorph = 1255 meV/atom; D(E_F) = 4.7 states/eV per cell; symmetry = Pm-3m (221); total energy = -0.1140 Ry per atom; spin magnetization = 0.0 μB per cell
1.0
-3.8527 -1.9998 -4.8087
4.5201 -4.2550 -1.8520
-2.5868 -4.4567 3.9259
Al Rb F
3 1 1
direct
0.0000 0.5000 0.0000
0.0000 0.0000 0.5000
0.5000 0.0000 0.0000
0.0000 0.0000 0.0000
0.5000 0.5000 0.5000

=====

[11]
PBE Rb3Al2F9, relaxed; energy relative to the elements, uncorrected = -3.287 eV per atom; D(E_F) = 0.0 states/eV per cell; symmetry = R-3c (167); total energy = -0.3846 Ry per atom; spin magnetization = 0.5 μB per cell
1.0
7.7209 -0.0025 0.6879
0.6291 7.6952 0.6879
-0.0027 -0.0025 7.7514
Rb Al F
6 4 18
direct
0.4049 0.7500 0.0951
0.2500 0.9049 0.5951
0.9049 0.5951 0.2500
0.0951 0.4049 0.7500
0.7500 0.0951 0.4049
0.5951 0.2500 0.9049
0.1558 0.1558 0.1558
0.6558 0.6558 0.6558
0.8442 0.8442 0.8442
0.3442 0.3442 0.3442
0.7491 0.9023 0.0476
0.0977 0.9524 0.2509
0.2500 0.3823 0.1177
0.5977 0.7509 0.4524
0.6177 0.8823 0.7500
0.8823 0.7500 0.6177
0.2491 0.5476 0.4023
0.5476 0.4023 0.2491
0.9524 0.2509 0.0977
0.0476 0.7491 0.9023
0.4524 0.5977 0.7509
0.3823 0.1177 0.2500
0.7509 0.4524 0.5977
0.1177 0.2500 0.3823
0.4023 0.2491 0.5476
0.7500 0.6177 0.8823
0.9023 0.0476 0.7491
0.2509 0.0977 0.9524

=====

[12]
PBE Rb2AlReF6, relaxed; energy relative to the elements, uncorrected = -2.070 eV per atom; D(E_F) = 4.7 states/eV per cell; symmetry = Fm-3m (225); total energy = -0.3679 Ry per atom; spin magnetization = 0.0 μB per cell
1.0
5.9240 0.0000 0.0000
0.0000 5.9240 0.0000
2.9620 2.9620 4.1886
Re Al Rb F
1 1 2 6
direct
0.0000 0.0000 0.0000
0.5000 0.5000 0.0000
0.7500 0.2500 0.5000
0.2500 0.7500 0.5000
0.2800 0.2800 0.4399
0.7200 0.7200 0.5601
0.2801 0.2801 0.0000
0.7199 0.7199 0.0000
0.7199 0.2801 0.0000
0.2801 0.7199 0.0000